A relaxed structure of Re2Rh, computed with PBE.

Output
**ΔH_f (0 K)**: 7 kJ per mole of atoms
**Total magnetization**: 0.0000 μB per atom
**Energy**: -10.6782 eV per atom

Unit cell a=4.345 b=4.345 c=5.434 alpha=90.00 beta=90.00 gamma=120.00
Atoms (fractional coordinates):
Re 0.000 0.000 0.000
Re 0.000 0.000 0.500
Re 0.333 0.667 0.250
Re 0.667 0.333 0.750
Rh 0.333 0.667 0.750
Rh 0.667 0.333 0.250